Model a:
LiCrRe2: relaxed, PBE.

Geometry as CIF:
```
data_LiCrRe2
_chemical_formula_sum 'Li4 Cr4 Re8'
_space_group_name_H-M_alt 'F -4 3 m'
_space_group_IT_number 216
_space_group_name_Hall 'F -4 2 3'
_cell_length_a 6.0417
_cell_length_b 6.0417
_cell_length_c 6.0417
_cell_angle_alpha 90.00
_cell_angle_beta 90.00
_cell_angle_gamma 90.00
loop_
_atom_site_label
_atom_site_type_symbol
_atom_site_fract_x
_atom_site_fract_y
_atom_site_fract_z
_atom_site_occupancy
Li1 Li 0.0000 0.0000 0.0000 1
Cr1 Cr 0.2500 0.2500 0.2500 1
Re1 Re 0.0000 0.0000 0.5000 1
Re2 Re 0.2500 0.2500 0.7500 1
```

Values from the calculation:
The total magnetization comes out at 2.6 μB/f.u. For the volume, the calculation gives 13.78 A^3/atom.

=====

Model b:
LiCrRe2: relaxed, PBE.

Geometry as CIF:
```
data_LiCrRe2
_chemical_formula_sum 'Li2 Cr2 Re4'
_space_group_name_H-M_alt 'I m m 2'
_space_group_IT_number 44
_space_group_name_Hall 'I 2 -2'
_cell_length_a 2.9742
_cell_length_b 4.2365
_cell_length_c 8.4774
_cell_angle_alpha 90.00
_cell_angle_beta 90.00
_cell_angle_gamma 90.00
loop_
_atom_site_label
_atom_site_type_symbol
_atom_site_fract_x
_atom_site_fract_y
_atom_site_fract_z
_atom_site_occupancy
Li1 Li 0.0000 0.0000 0.0000 1
Cr1 Cr 0.0000 0.5000 0.7546 1
Re1 Re 0.0000 0.0000 0.4858 1
Re2 Re 0.0000 0.5000 0.2357 1
```

Values from the calculation:
The total magnetization comes out at 0.0 μB/f.u. For the volume, the calculation gives 13.35 A^3/atom.

=====

List of relative energies, unit kJ/mol of atoms: model a 0.0; model b 6.3